Entry 1:
{"formula": "Bi3Pd", "functional": "GGA-PBE", "state": "relaxed", "delta_e_f_ev_per_fu": -0.3, "volume_a3_per_cell": 220.17, "dos_ef_per_ev_atom": 0.47, "m_tot_mub_per_cell": 0.00, "dft_energy_ev_per_atom": -4.29, "cell": [[5.401, -3.391, 0.000], [5.401, 3.391, 0.000], [0.000, 0.000, 6.011]], "species": ["Bi", "Bi", "Bi", "Bi", "Bi", "Bi", "Pd", "Pd"], "frac_coords": [[0.110, 0.524, 0.250], [0.135, 0.865, 0.750], [0.476, 0.890, 0.250], [0.524, 0.110, 0.750], [0.865, 0.135, 0.250], [0.890, 0.476, 0.750], [0.500, 0.500, 0.000], [0.500, 0.500, 0.500]]}

***

Entry 2:
{"formula": "GdInGaAu", "functional": "GGA-PBE", "state": "relaxed", "delta_e_f_ev_per_fu": -2.2, "volume_a3_per_cell": 87.78, "dos_ef_per_ev_atom": 0.34, "m_tot_mub_per_cell": 6.99, "dft_energy_ev_per_atom": -6.32, "cell": [[0.000, 3.527, 3.527], [3.527, 0.000, 3.527], [3.527, 3.527, 0.000]], "species": ["Gd", "In", "Ga", "Au"], "frac_coords": [[0.000, 0.000, 0.000], [0.500, 0.500, 0.500], [0.250, 0.250, 0.250], [0.750, 0.750, 0.750]]}

***

Entry 3:
{"formula": "Rb3Tl5Au3", "functional": "GGA-PBE", "state": "relaxed", "delta_e_f_ev_per_fu": -0.9, "volume_a3_per_cell": 472.36, "dos_ef_per_ev_atom": 0.80, "m_tot_mub_per_cell": 0.00, "dft_energy_ev_per_atom": -2.31, "cell": [[9.024, 0.000, 0.000], [-4.512, 7.815, 0.000], [0.000, 0.000, 6.698]], "species": ["Rb", "Rb", "Rb", "Tl", "Tl", "Tl", "Tl", "Tl", "Au", "Au", "Au"], "frac_coords": [[0.000, 0.657, 0.000], [0.343, 0.343, 0.000], [0.657, 0.000, 0.000], [0.000, 0.254, 0.500], [0.254, 0.000, 0.500], [0.333, 0.667, 0.500], [0.667, 0.333, 0.500], [0.746, 0.746, 0.500], [0.000, 0.628, 0.500], [0.372, 0.372, 0.500], [0.628, 0.000, 0.500]]}

***

Entry 4:
{"formula": "Ba3PmNd2Se6", "functional": "GGA-PBE", "state": "relaxed", "raw_formation_energy_ev_per_atom": -1.916, "volume_a3_per_cell": 371.81, "dos_ef_per_ev_atom": 0.40, "m_tot_mub_per_cell": 0.00, "dft_energy_ev_per_atom": -5.33, "cell": [[3.801, -6.576, 0.000], [3.801, 6.576, 0.000], [-2.536, 0.000, 7.436]], "species": ["Ba", "Ba", "Ba", "Pm", "Nd", "Nd", "Se", "Se", "Se", "Se", "Se", "Se"], "frac_coords": [[0.000, 0.000, 0.000], [0.333, 0.667, 0.000], [0.667, 0.333, 0.000], [0.500, 0.500, 0.500], [0.166, 0.834, 0.500], [0.834, 0.166, 0.500], [0.095, 0.426, 0.278], [0.243, 0.243, 0.722], [0.426, 0.095, 0.278], [0.574, 0.905, 0.722], [0.757, 0.757, 0.278], [0.905, 0.574, 0.722]]}

***

Entry 5:
{"formula": "TiPd3Au", "functional": "GGA-PBE", "state": "relaxed", "delta_e_f_ev_per_fu": -2.3, "volume_a3_per_cell": 158.28, "dos_ef_per_ev_atom": 0.46, "m_tot_mub_per_cell": 0.00, "dft_energy_ev_per_atom": -5.80, "cell": [[4.902, 0.000, 0.000], [1.568, 5.385, 0.000], [1.715, 0.883, 5.997]], "species": ["Ti", "Ti", "Pd", "Pd", "Pd", "Pd", "Pd", "Pd", "Au", "Au"], "frac_coords": [[0.227, 0.271, 0.106], [0.773, 0.729, 0.894], [0.000, 0.000, 0.500], [0.000, 0.500, 0.500], [0.188, 0.784, 0.102], [0.410, 0.089, 0.716], [0.590, 0.911, 0.284], [0.812, 0.216, 0.898], [0.387, 0.595, 0.707], [0.613, 0.405, 0.293]]}

***

Entry 6:
{"formula": "TeCl2O", "functional": "GGA-PBE", "state": "relaxed", "raw_formation_energy_ev_per_atom": -0.648, "volume_a3_per_cell": 124.65, "dos_ef_per_ev_atom": 0.00, "m_tot_mub_per_cell": 0.00, "dft_energy_ev_per_atom": -3.60, "cell": [[3.141, -6.198, 0.000], [3.141, 6.198, 0.000], [-3.133, 0.000, 3.201]], "species": ["Te", "Cl", "Cl", "O"], "frac_coords": [[0.000, 0.000, 0.000], [0.499, 0.788, 0.592], [0.788, 0.499, 0.592], [0.032, 0.032, 0.436]]}

***

Entry 7:
{"formula": "Ce2PmHgO4", "functional": "GGA-PBE", "state": "relaxed", "raw_formation_energy_ev_per_atom": -2.860, "volume_a3_per_cell": 148.33, "dos_ef_per_ev_atom": 1.05, "m_tot_mub_per_cell": 1.55, "dft_energy_ev_per_atom": -7.45, "cell": [[4.025, 0.000, 0.000], [0.000, 4.025, 0.000], [0.000, 0.000, 9.154]], "species": ["Ce", "Ce", "Pm", "Hg", "O", "O", "O", "O"], "frac_coords": [[0.000, 0.000, 0.231], [0.000, 0.000, 0.769], [0.500, 0.500, 0.500], [0.500, 0.500, 0.000], [0.000, 0.500, 0.343], [0.000, 0.500, 0.657], [0.500, 0.000, 0.343], [0.500, 0.000, 0.657]]}

***

Entry 8:
{"formula": "La2ScFe", "functional": "GGA-PBE", "state": "relaxed", "delta_e_f_ev_per_fu": 1.2, "volume_a3_per_cell": 106.10, "dos_ef_per_ev_atom": 1.75, "m_tot_mub_per_cell": 1.80, "dft_energy_ev_per_atom": -5.86, "cell": [[5.294, 0.000, 0.000], [0.000, 5.294, 0.000], [0.000, 0.000, 3.786]], "species": ["La", "La", "Sc", "Fe"], "frac_coords": [[0.000, 0.500, 0.000], [0.500, 0.000, 0.000], [0.000, 0.000, 0.500], [0.500, 0.500, 0.500]]}

***

Density? In order: 11.062 10.192 6.571 5.892 11.836 2.858 7.722 5.925 g/cm³.